A relaxed structure of SnHgGe3, computed with PBEsol.

Cell and atoms, written as POSCAR:
```
SnHgGe3
1.0
5.1139 0.0000 0.0000
0.0000 5.1139 0.0000
0.0000 0.0000 5.1139
Hg Ge Sn
1 3 1
direct
0.0000 0.0000 0.0000 Hg
0.0000 0.5000 0.0000 Ge
0.0000 0.0000 0.5000 Ge
0.5000 0.0000 0.0000 Ge
0.5000 0.5000 0.5000 Sn
```

Results
ΔH_f (0 K)	809	meV/atom
total energy	-3.120	eV/atom
DOS at the Fermi energy	3.211	states/eV/f.u.
M_tot	0.00	μB/cell
crystal system	cubic